# 1
! BaGa2Pd2 (PBE, optimized geometry); values from VASP
! final energy = -4.35 eV per atom
! SG = P-1
&SYSTEM
  ibrav = 0, nat = 10, ntyp = 3
/
ATOMIC_SPECIES
Ga 69.72 Ga.upf
Ba 137.33 Ba.upf
Pd 106.42 Pd.upf
ATOMIC_POSITIONS angstrom
Ga -5.509 0.954 7.094
Ga -3.582 3.478 4.663
Ga 0.623 1.918 6.242
Ga -1.303 -0.605 8.672
Ba -2.243 2.833 8.322
Ba -2.642 0.039 5.014
Pd -5.579 1.952 4.784
Pd 0.233 1.208 3.815
Pd 0.693 0.920 8.551
Pd -5.119 1.664 9.520
CELL_PARAMETERS angstrom
-3.452 4.451 2.122
-4.014 -1.869 4.239
2.581 0.290 6.975



# 2
! BaGa2PdPt (PBE, optimized geometry); values from VASP
! final energy = -4.60 eV per atom
! SG = P4/nmm
&SYSTEM
  ibrav = 0, nat = 10, ntyp = 4
/
ATOMIC_SPECIES
Pd 106.42 Pd.upf
Pt 195.08 Pt.upf
Ba 137.33 Ba.upf
Ga 69.72 Ga.upf
ATOMIC_POSITIONS angstrom
Pd 0.000 0.000 0.000
Pd 2.282 2.282 0.000
Pt 0.000 2.282 6.499
Pt 2.282 0.000 3.897
Ba 0.000 2.282 2.563
Ba 2.282 0.000 7.834
Ga 0.000 0.000 5.198
Ga 0.000 2.282 9.161
Ga 2.282 2.282 5.198
Ga 2.282 0.000 1.235
CELL_PARAMETERS angstrom
4.564 0.000 0.000
0.000 4.564 0.000
0.000 0.000 10.396



# 3
! BaGaSbPd2 (PBE, optimized geometry); values from VASP
! final energy = -4.63 eV per atom
! SG = P4/nmm
&SYSTEM
  ibrav = 0, nat = 10, ntyp = 4
/
ATOMIC_SPECIES
Ga 69.72 Ga.upf
Pd 106.42 Pd.upf
Ba 137.33 Ba.upf
Sb 121.76 Sb.upf
ATOMIC_POSITIONS angstrom
Ga 2.356 2.356 5.288
Ga 0.000 0.000 5.288
Pd 2.356 2.356 0.000
Pd 0.000 2.356 6.425
Pd 2.356 0.000 4.150
Pd 0.000 0.000 0.000
Ba 2.356 0.000 7.911
Ba 0.000 2.356 2.664
Sb 2.356 0.000 1.388
Sb 0.000 2.356 9.187
CELL_PARAMETERS angstrom
4.713 0.000 0.000
0.000 4.713 0.000
0.000 0.000 10.575



# 4
! BaGaSbPd2 (PBE, optimized geometry); values from VASP
! final energy = -4.60 eV per atom
! SG = P4/nmm
&SYSTEM
  ibrav = 0, nat = 10, ntyp = 4
/
ATOMIC_SPECIES
Pd 106.42 Pd.upf
Ba 137.33 Ba.upf
Sb 121.76 Sb.upf
Ga 69.72 Ga.upf
ATOMIC_POSITIONS angstrom
Pd 0.000 0.000 0.000
Pd -2.921 -3.364 0.420
Pd -0.454 -6.976 0.813
Pd -1.111 -1.082 -2.977
Ba 0.447 -3.294 -0.862
Ba -3.821 -7.046 2.095
Sb -1.132 -4.629 2.105
Sb -2.243 -5.711 -0.872
Ga -2.347 -1.015 -0.648
Ga -1.028 -9.325 1.881
CELL_PARAMETERS angstrom
-4.194 0.013 -2.225
1.972 -2.178 -3.729
-2.264 -9.258 4.210



# 5
! BaPmGa (PBE, optimized geometry); values from VASP
! final energy = -3.03 eV per atom
! SG = F-43m
&SYSTEM
  ibrav = 0, nat = 3, ntyp = 3
/
ATOMIC_SPECIES
Pm 145.00 Pm.upf
Ga 69.72 Ga.upf
Ba 137.33 Ba.upf
ATOMIC_POSITIONS angstrom
Pm 0.000 0.000 0.000
Ga -5.913 -3.729 6.721
Ba -1.971 -1.243 2.240
CELL_PARAMETERS angstrom
-0.245 -2.109 4.833
-4.163 0.974 3.097
-3.476 -3.836 1.032



# 6
! BaPrGa (PBE, optimized geometry); values from VASP
! final energy = -3.31 eV per atom
! SG = F-43m
&SYSTEM
  ibrav = 0, nat = 3, ntyp = 3
/
ATOMIC_SPECIES
Ga 69.72 Ga.upf
Ba 137.33 Ba.upf
Pr 140.91 Pr.upf
ATOMIC_POSITIONS angstrom
Ga 0.000 0.000 0.000
Ba -2.838 0.005 1.735
Pr -8.515 0.014 5.205
CELL_PARAMETERS angstrom
-3.080 -2.822 3.473
-2.858 2.595 3.822
-5.415 0.245 -0.355



# 7
! BaGaPt (PBE, optimized geometry); values from VASP
! final energy = -4.06 eV per atom
! SG = F-43m
&SYSTEM
  ibrav = 0, nat = 3, ntyp = 3
/
ATOMIC_SPECIES
Pt 195.08 Pt.upf
Ba 137.33 Ba.upf
Ga 69.72 Ga.upf
ATOMIC_POSITIONS angstrom
Pt 0.000 0.000 0.000
Ba 1.763 1.763 1.763
Ga 5.288 5.288 5.288
CELL_PARAMETERS angstrom
0.000 3.525 3.525
3.525 0.000 3.525
3.525 3.525 0.000



# 8
! BaGa3Pt (PBE, optimized geometry); values from VASP
! final energy = -3.97 eV per atom
! SG = Imma
&SYSTEM
  ibrav = 0, nat = 10, ntyp = 3
/
ATOMIC_SPECIES
Ga 69.72 Ga.upf
Ba 137.33 Ba.upf
Pt 195.08 Pt.upf
ATOMIC_POSITIONS angstrom
Ga 1.562 0.553 1.915
Ga 0.000 2.425 0.725
Ga 3.124 2.425 3.104
Ga 1.562 4.296 1.915
Ga -1.562 4.296 1.915
Ga 1.562 5.403 -1.915
Ba 0.000 2.425 4.519
Ba 3.124 2.425 -0.690
Pt 0.000 4.849 0.000
Pt 0.000 0.000 0.000
CELL_PARAMETERS angstrom
-3.124 4.849 3.830
3.124 -4.849 3.830
3.124 4.849 -3.830